# PBE IrRh4Pb, relaxed
# **Crystal system**: cubic
# **ΔH_f (0 K)**: 0.49 eV/atom
# **Uncorrected energy**: -6.5075 eV per atom
data_IrRh4Pb
_chemical_formula_sum 'Ir4 Rh16 Pb4'
_cell_length_a 7.335
_cell_length_b 7.335
_cell_length_c 7.335
_cell_angle_alpha 90.00
_cell_angle_beta 90.00
_cell_angle_gamma 90.00
_symmetry_space_group_name_H-M 'F -4 3 m'
_symmetry_Int_Tables_number 216
_symmetry_space_group_name_Hall 'F -4 2 3'
loop_
_atom_site_label
_atom_site_fract_x
_atom_site_fract_y
_atom_site_fract_z
Ir1 0.000 0.000 0.000
Rh1 0.126 0.126 0.374
Pb1 0.250 0.250 0.750